Below is an optimized crystal structure of ScP2H, with properties calculated at the PBE level.

* energy above the lowest structure with this stoichiometry: 0 meV per atom
* mass density: 3.4 g cm⁻³
* spin magnetization: 0.000 μB/cell

abc: 5.8948 5.8948 5.1747
angles: 55.28 55.28 90.00
Element x y z (fractional)
Sc: 0.0000 0.0000 0.0000
Sc: 0.7500 0.2500 0.5000
P: 0.5187 0.1250 0.2500
P: 0.2313 0.6250 0.2500
P: 0.3750 0.4813 0.7500
P: 0.8750 0.7687 0.7500
H: 0.5000 0.5000 0.0000
H: 0.2500 0.7500 0.5000